Hg2AsCl PBE optimized geometry; calculated density = 6598 kg/m3; total magnetic moment = 0.00 μB/f.u.; DOS(E_F) = 10.9 states/eV per cell; formation energy (no corrections) = -78 kJ/mol of formula units; energy relative to the lowest polymorph listed for this composition = 0.066 eV per atom
1.0
6.185 0.000 0.000
0.000 6.185 0.000
0.000 0.000 13.461
Hg As Cl
8 4 4
direct
0.193 0.250 0.125
0.250 0.693 0.375
0.250 0.807 0.875
0.307 0.250 0.625
0.693 0.750 0.625
0.750 0.193 0.875
0.750 0.307 0.375
0.807 0.750 0.125
0.000 0.000 0.000
0.000 0.500 0.250
0.500 0.000 0.750
0.500 0.500 0.500
0.000 0.000 0.500
0.000 0.500 0.750
0.500 0.000 0.250
0.500 0.500 0.000



Hg2AsCl PBE optimized geometry; calculated density = 8010 kg/m3; total magnetic moment = 0.59 μB/f.u.; DOS(E_F) = 4.8 states/eV per cell; formation energy (no corrections) = 73 kJ/mol of formula units; energy relative to the lowest polymorph listed for this composition = 0.456 eV per atom
1.0
3.973 0.000 0.000
0.000 3.973 0.000
0.000 0.000 13.434
Hg As Cl
4 2 2
direct
0.000 0.000 0.000
0.000 0.500 0.250
0.500 0.000 0.750
0.500 0.500 0.500
0.000 0.500 0.750
0.500 0.000 0.250
0.000 0.000 0.500
0.500 0.500 0.000



HgAsCl2 PBE optimized geometry; calculated density = 6560 kg/m3; total magnetic moment = 0.95 μB/f.u.; DOS(E_F) = 11.6 states/eV per cell; formation energy (no corrections) = 117 kJ/mol of formula units; energy relative to the lowest polymorph listed for this composition = 0.600 eV per atom
1.0
7.052 0.000 0.000
0.000 7.052 0.000
0.000 0.000 7.052
Hg As Cl
4 4 8
direct
0.000 0.000 0.000
0.000 0.500 0.500
0.500 0.000 0.500
0.500 0.500 0.000
0.250 0.250 0.750
0.250 0.750 0.250
0.750 0.250 0.250
0.750 0.750 0.750
0.000 0.000 0.500
0.000 0.500 0.000
0.250 0.250 0.250
0.250 0.750 0.750
0.500 0.000 0.000
0.500 0.500 0.500
0.750 0.250 0.750
0.750 0.750 0.250



HgAsCl PBE optimized geometry; calculated density = 7615 kg/m3; total magnetic moment = 0.00 μB/f.u.; DOS(E_F) = 2.7 states/eV per cell; formation energy (no corrections) = 70 kJ/mol of formula units; energy relative to the lowest polymorph listed for this composition = 0.587 eV per atom
1.0
4.812 0.000 0.000
-2.406 4.167 0.000
0.000 0.000 3.382
Hg As Cl
1 1 1
direct
0.000 0.000 0.000
0.667 0.333 0.148
0.333 0.667 0.550



Hg12As5Cl3 PBE optimized geometry; calculated density = 7719 kg/m3; total magnetic moment = 0.00 μB/f.u.; DOS(E_F) = 30.0 states/eV per cell; formation energy (no corrections) = 88 kJ/mol of formula units
1.0
-8.533 8.533 8.533
8.533 -8.533 8.533
8.533 8.533 -8.533
Hg As Cl
48 20 12
direct
0.023 0.207 0.085
0.023 0.315 0.937
0.063 0.585 0.378
0.063 0.977 0.685
0.085 0.023 0.207
0.085 0.563 0.878
0.122 0.707 0.685
0.122 0.915 0.437
0.185 0.207 0.622
0.185 0.477 0.563
0.207 0.085 0.023
0.207 0.622 0.185
0.293 0.315 0.878
0.293 0.477 0.415
0.315 0.878 0.293
0.315 0.937 0.023
0.378 0.063 0.585
0.378 0.815 0.793
0.415 0.293 0.477
0.415 0.622 0.937
0.437 0.122 0.915
0.437 0.815 0.523
0.477 0.415 0.293
0.477 0.563 0.185
0.523 0.437 0.815
0.523 0.585 0.707
0.563 0.185 0.477
0.563 0.878 0.085
0.585 0.378 0.063
0.585 0.707 0.523
0.622 0.185 0.207
0.622 0.937 0.415
0.685 0.063 0.977
0.685 0.122 0.707
0.707 0.523 0.585
0.707 0.685 0.122
0.793 0.378 0.815
0.793 0.915 0.977
0.815 0.523 0.437
0.815 0.793 0.378
0.878 0.085 0.563
0.878 0.293 0.315
0.915 0.437 0.122
0.915 0.977 0.793
0.937 0.023 0.315
0.937 0.415 0.622
0.977 0.685 0.063
0.977 0.793 0.915
0.000 0.000 0.000
0.000 0.000 0.500
0.000 0.500 0.000
0.000 0.500 0.500
0.125 0.750 0.875
0.125 0.875 0.250
0.250 0.125 0.875
0.250 0.625 0.375
0.375 0.250 0.625
0.375 0.625 0.750
0.500 0.000 0.000
0.500 0.000 0.500
0.500 0.500 0.000
0.500 0.500 0.500
0.625 0.375 0.250
0.625 0.750 0.375
0.750 0.375 0.625
0.750 0.875 0.125
0.875 0.125 0.750
0.875 0.250 0.125
0.125 0.250 0.375
0.125 0.375 0.750
0.250 0.375 0.125
0.250 0.875 0.625
0.375 0.125 0.250
0.375 0.750 0.125
0.625 0.250 0.875
0.625 0.875 0.750
0.750 0.125 0.375
0.750 0.625 0.875
0.875 0.625 0.250
0.875 0.750 0.625



Hg2AsCl PBE optimized geometry; calculated density = 8385 kg/m3; total magnetic moment = 0.00 μB/f.u.; DOS(E_F) = 4.1 states/eV per cell; formation energy (no corrections) = 17 kJ/mol of formula units; energy relative to the lowest polymorph listed for this composition = 0.311 eV per atom
1.0
5.597 0.000 0.000
0.000 8.518 0.000
-2.720 0.000 4.251
Hg As Cl
4 2 2
direct
0.250 0.250 0.000
0.250 0.750 0.000
0.750 0.250 0.000
0.750 0.750 0.000
0.000 0.000 0.500
0.500 0.500 0.500
0.000 0.500 0.500
0.500 0.000 0.500



HgAsICl2 PBE optimized geometry; calculated density = 4626 kg/m3; total magnetic moment = 2.01 μB/f.u.; DOS(E_F) = 1.3 states/eV per cell; formation energy (no corrections) = 102 kJ/mol of formula units
1.0
5.024 0.000 0.000
0.000 5.024 0.000
0.000 0.000 6.730
Hg As I Cl
1 1 1 2
direct
0.000 0.000 0.000
0.500 0.500 0.500
0.000 0.000 0.500
0.000 0.500 0.000
0.500 0.000 0.000



Hg4AsICl2 PBE optimized geometry; calculated density = 7257 kg/m3; total magnetic moment = 0.00 μB/f.u.; DOS(E_F) = 5.1 states/eV per cell; formation energy (no corrections) = -133 kJ/mol of formula units
1.0
5.649 -7.538 0.000
5.649 7.538 0.000
-5.588 0.000 5.778
Hg As I Cl
8 2 2 4
direct
0.183 0.816 0.518
0.184 0.817 0.982
0.236 0.245 0.987
0.245 0.236 0.487
0.755 0.764 0.513
0.764 0.755 0.013
0.816 0.183 0.018
0.817 0.184 0.482
0.000 0.000 0.000
0.000 0.000 0.500
0.000 0.500 0.000
0.500 0.000 0.500
0.000 0.500 0.500
0.500 0.000 0.000
0.500 0.500 0.000
0.500 0.500 0.500